Entry 1:
A geometry-optimized SrFeI3 structure, computed with PBE.

The structure belongs to space group Pm-3m (No. 221); the cell edges are 5.554, 5.554 and 5.554 Å and the angles 90.00°, 90.00° and 90.00°. The asymmetric unit holds Sr at (0.000, 0.000, 0.000), Fe at (0.500, 0.500, 0.500) and I at (0.000, 0.500, 0.500).

The value obtained for the formation energy (no corrections) is -0.50 eV per atom. As for the energy above the most stable polymorph in this dataset: 0.0 meV/atom. For the final energy, the calculation gives -3.46 eV/atom.

Entry 2:
A geometry-optimized Nd5PbAu2 structure, computed with PBE.

The structure belongs to space group I4/mcm (No. 140); the cell edges are 8.383, 8.383 and 13.595 Å and the angles 90.00°, 90.00° and 90.00°. The asymmetric unit holds Nd at (0.000, 0.000, 0.000), Nd at (0.156, 0.344, 0.143), Pb at (0.000, 0.000, 0.250) and Au at (0.135, 0.365, 0.500).

As for the formation enthalpy at 0 K: -0.566 eV/atom. For the final energy, the calculation gives -4.83 eV/atom.

Entry 3:
A geometry-optimized NaLi12Mg6 structure, computed with PBE.

The structure belongs to space group R-3 (No. 148, hexagonal axes); the cell edges are 10.7900, 10.7900 and 12.5707 Å and the angles 90.00°, 90.00° and 120.00°. The asymmetric unit holds Na at (0.0000, 0.0000, 0.0000), Li at (0.0331, 0.1872, 0.8072), Li at (0.0567, 0.8506, 0.4122) and Mg at (0.0169, 0.4267, 0.7047).

As for the formation enthalpy at 0 K: 0.041 eV/atom. As for the energy above the most stable polymorph in this dataset: 0.0 meV/atom. For the final energy, the calculation gives -1.74 eV/atom.

Entry 4:
A geometry-optimized B structure, computed with PBE.

The structure belongs to space group P4_2/nnm (No. 134, origin choice 2); the cell edges are 8.811, 8.811 and 4.992 Å and the angles 90.00°, 90.00° and 90.00°. The asymmetric unit holds B at (0.004, 0.504, 0.169), B at (0.022, 0.667, 0.658), B at (0.080, 0.164, 0.847), B at (0.121, 0.621, 0.359) and B at (0.250, 0.750, 0.250).

As for the formation enthalpy at 0 K: 0.100 eV/atom. As for the energy above the most stable polymorph in this dataset: 100.0 meV/atom. For the final energy, the calculation gives -6.58 eV/atom.

Entry 5:
A geometry-optimized PrYTmHg structure, computed with PBE.

The structure belongs to space group P4mm (No. 99); the cell edges are 3.637, 3.637 and 8.937 Å and the angles 90.00°, 90.00° and 90.00°. The asymmetric unit holds Pr at (0.000, 0.000, 0.000), Y at (0.500, 0.500, 0.710), Tm at (0.500, 0.500, 0.282) and Hg at (0.000, 0.000, 0.489).

As for the formation enthalpy at 0 K: -0.244 eV/atom. As for the energy above the most stable polymorph in this dataset: 0.0 meV/atom. For the final energy, the calculation gives -4.25 eV/atom.

Entry 6:
A geometry-optimized TiAlAgPd structure, computed with PBE.

The structure belongs to space group F-43m (No. 216); the cell edges are 6.346, 6.346 and 6.346 Å and the angles 90.00°, 90.00° and 90.00°. The asymmetric unit holds Ti at (0.000, 0.000, 0.000), Al at (0.000, 0.000, 0.500), Ag at (0.250, 0.250, 0.250) and Pd at (0.250, 0.250, 0.750).

As for the formation enthalpy at 0 K: -0.424 eV/atom. For the final energy, the calculation gives -5.34 eV/atom.